Entry from Alexandria: a relaxed BaHfS2F crystal (PBE).

VASP energy = -6.639 eV per atom

Cell: 5.0736 5.0736 4.2520 Å, 90.00 90.00 90.00°
Fractional coordinates of all 5 atoms:
F  0.0000  0.0000  0.5000
S  0.0000  0.5000  0.0000
S  0.5000  0.0000  0.0000
Ba  0.5000  0.5000  0.5000
Hf  0.0000  0.0000  0.0000